This record from the Open Quantum Materials Database describes an optimized crystal structure of CuSbWAu. The functional is GGA-PBE.

Lattice parameters (Å, degrees): 4.6079 4.6079 4.6079 60.00 60.00 60.00
Closest atoms and distances in Å follow each position.
Positions (direct):
1 Au 0.5000 0.5000 0.5000  4 W 2.82, 4 Cu 2.82
2 Cu 0.7500 0.7500 0.7500  4 Au 2.82, 4 Sb 2.82
3 Sb 0.0000 0.0000 0.0000  4 Cu 2.82, 4 W 2.82
4 W 0.2500 0.2500 0.2500  4 Au 2.82, 4 Sb 2.82

Values from the calculation:
Energy above the lowest structure with this stoichiometry in meV/atom: 0
VASP energy in eV/atom: -5.481
Crystal system: cubic